# PBE BaCdTeN2, relaxed
# E above lowest polymorph   521 meV/atom
# Symmetry   No. 123
data_BaCdTeN2
_chemical_formula_sum 'Ba1 Cd1 Te1 N2'
_space_group_name_H-M_alt 'P 1'
_space_group_IT_number 1
_cell_length_a 4.707
_cell_length_b 4.707
_cell_length_c 7.301
_cell_angle_alpha 90.00
_cell_angle_beta 90.00
_cell_angle_gamma 90.00
loop_
_space_group_symop_operation_xyz
'x,y,z'
loop_
_atom_site_label
_atom_site_fract_x
_atom_site_fract_y
_atom_site_fract_z
_atom_site_occupancy
Ba1 0.000 0.000 0.000 1
Cd1 0.500 0.500 0.500 1
Te1 0.000 0.000 0.500 1
N1 0.000 0.500 0.000 1
N2 0.500 0.000 0.000 1